This record from Alexandria describes CoIrCl2 after structural relaxation. The functional is PBE-GGA.

Cell and atoms, written as POSCAR:
```
CoIrCl2
1.0
3.450 -0.025 0.238
1.789 2.950 0.238
0.426 0.238 8.278
Ir Co Cl
1 1 2
Cartesian
1.150 0.642 3.809 Ir
2.985 1.667 2.677 Co
4.948 2.763 1.403 Cl
4.653 2.598 5.720 Cl
```

Calculated values
The value obtained for the uncorrected formation energy is 87 meV/atom. The value obtained for the total magnetization is 0.501 μB per atom. As for the density of states at the Fermi level: 2.8 states/eV/cell. The distance to the lowest polymorph of the same formula comes out at 0.0 meV per atom.